Record 1
PmY3Sc2Te6 after structural relaxation. Source: Alexandria, functional PBE.

Lattice parameters (Å, degrees): 9.649 9.649 8.667 102.45 102.45 25.78
Positions (direct):
Pm 0.000 0.000 0.000
Y 0.000 0.000 0.500
Y 0.342 0.342 0.168
Y 0.658 0.658 0.832
Sc 0.337 0.337 0.670
Sc 0.663 0.663 0.330
Te 0.172 0.172 0.577
Te 0.173 0.173 0.097
Te 0.493 0.493 0.741
Te 0.507 0.507 0.259
Te 0.827 0.827 0.903
Te 0.828 0.828 0.423

Output
crystal system = monoclinic
formation energy (no corrections) = -1.2487 eV/atom
SG = C2/m

---

Record 2
TbTlNiHg after structural relaxation. Source: Alexandria, functional PBE.

Lattice parameters (Å, degrees): 4.958 4.958 4.958 60.00 60.00 60.00
Positions (direct):
Tb 0.000 0.000 0.000
Tl 0.500 0.500 0.500
Ni 0.750 0.750 0.750
Hg 0.250 0.250 0.250

Output
crystal system = cubic
SG = F-43m
formation energy from the elements = -117 meV/atom

---

Record 3
Ca2TaRhSe after structural relaxation. Source: Alexandria, functional PBE.

Lattice parameters (Å, degrees): 5.761 5.761 4.565 90.00 90.00 90.00
Positions (direct):
Ca 0.000 0.500 0.000
Ca 0.500 0.000 0.000
Ta 0.000 0.000 0.000
Rh 0.000 0.000 0.500
Se 0.500 0.500 0.500

Output
crystal system = tetragonal
formation energy (no corrections) = 0.5559 eV/atom
SG = P4/mmm

---

Record 4
Ho5C2S2 after structural relaxation. Source: Alexandria, functional PBE.

Lattice parameters (Å, degrees): 7.630 7.630 7.074 90.00 90.00 54.81
Positions (direct):
Ho 0.000 0.000 0.000
Ho 0.034 0.720 0.655
Ho 0.220 0.534 0.155
Ho 0.280 0.966 0.655
Ho 0.466 0.780 0.155
Ho 0.500 0.500 0.500
Ho 0.534 0.220 0.845
Ho 0.720 0.034 0.345
Ho 0.780 0.466 0.845
Ho 0.966 0.280 0.345
C 0.168 0.832 0.340
C 0.332 0.668 0.840
C 0.668 0.332 0.160
C 0.832 0.168 0.660
S 0.200 0.200 0.000
S 0.300 0.300 0.500
S 0.700 0.700 0.500
S 0.800 0.800 0.000

Output
crystal system = orthorhombic
formation energy (no corrections) = -0.8143 eV/atom
SG = Cmce